Entry 1:
First-principles (GGA-PBE) data for a relaxed structure of Te2AsCl, as listed in Alexandria via LeMat-Bulk.

Calculated values
Its total magnetization is 0.00 μB per formula unit. The raw total energy is -0.220 Ry/atom. The value obtained for the raw formation energy is 0.20 eV/atom.

Lattice parameters (Å, degrees): 3.6724 5.7224 9.3999 90.00 90.00 90.00
With the nearest neighbours (Å) after each atom.
Space group Cmmm (No. 65)
Inequivalent atoms, fractional coordinates:
1 Te 0.0000 0.0000 0.2383  2 As 2.90, 2 Cl 3.07
2 As 0.0000 0.5000 0.0000  4 Te 2.90
3 Cl 0.0000 0.5000 0.5000  4 Te 3.07, 4 Cl 3.40


Entry 2:
First-principles (GGA-PBE) data for a relaxed structure of TeAsCl2, as listed in Alexandria via LeMat-Bulk.

Calculated values
Its total magnetization is 0.00 μB per formula unit. The raw total energy is -0.200 Ry/atom. The value obtained for the raw formation energy is 0.15 eV/atom.

Lattice parameters (Å, degrees): 3.1328 3.1328 10.9348 90.00 90.00 90.00
With the nearest neighbours (Å) after each atom.
Space group P4/mmm (No. 123)
Inequivalent atoms, fractional coordinates:
1 Te 0.0000 0.0000 0.0000  4 Te 3.13
2 As 0.0000 0.0000 0.5000  8 Cl 2.80, 4 As 3.13
3 Cl 0.5000 0.5000 0.3433  4 As 2.80, 4 Cl 3.13


Entry 3:
First-principles (GGA-PBE) data for a relaxed structure of TeAsCl2, as listed in Alexandria via LeMat-Bulk.

Calculated values
Its total magnetization is 0.00 μB per formula unit. The raw total energy is -0.225 Ry/atom. The value obtained for the raw formation energy is -0.19 eV/atom.

Lattice parameters (Å, degrees): 6.9689 3.9597 8.3114 90.00 91.61 90.00
With the nearest neighbours (Å) after each atom.
Space group Cm (No. 8)
Inequivalent atoms, fractional coordinates:
1 Te 0.0000 0.0000 0.0000  1 Cl 2.66, 2 As 2.76
2 As 0.3592 0.0000 0.7967  1 Cl 2.34
3 Cl 0.0743 0.5000 0.5851  1 As 2.34
4 Cl 0.2645 0.5000 0.2461  1 Te 2.66


Entry 4:
First-principles (GGA-PBE) data for a relaxed structure of TeAs4Cl, as listed in Alexandria via LeMat-Bulk.

Calculated values
Its total magnetization is 0.00 μB per formula unit. The raw total energy is -0.268 Ry/atom. The value obtained for the raw formation energy is 0.29 eV/atom.

Lattice parameters (Å, degrees): 8.3998 8.3998 8.3998 90.00 90.00 90.00
With the nearest neighbours (Å) after each atom.
Space group F-43m (No. 216)
Inequivalent atoms, fractional coordinates:
1 Te 0.0000 0.0000 0.0000  12 As 3.54, 4 Cl 3.64
2 As 0.1056 0.1056 0.6056  3 As 2.51
3 Cl 0.2500 0.2500 0.2500  12 As 3.44, 4 Te 3.64


Entry 5:
First-principles (GGA-PBE) data for a relaxed structure of TeAsCl2, as listed in Alexandria via LeMat-Bulk.

Calculated values
Its total magnetization is 0.00 μB per formula unit. The raw total energy is -0.214 Ry/atom. The value obtained for the raw formation energy is -0.04 eV/atom.

Lattice parameters (Å, degrees): 14.6946 3.2466 5.8334 90.00 113.30 90.00
With the nearest neighbours (Å) after each atom.
Space group C2/m (No. 12)
Inequivalent atoms, fractional coordinates:
1 Te 0.0000 0.0000 0.0000  2 Te 3.25, 4 As 3.34, 4 Cl 3.50-3.51
2 As 0.0000 0.5000 0.5000  4 Cl 2.53
3 Cl 0.1438 0.0000 0.6436  2 As 2.53


Entry 6:
First-principles (GGA-PBE) data for a relaxed structure of TeAsCl2, as listed in Alexandria via LeMat-Bulk.

Calculated values
Its total magnetization is 0.00 μB per formula unit. The raw total energy is -0.186 Ry/atom. The value obtained for the raw formation energy is 0.35 eV/atom.

Lattice parameters (Å, degrees): 6.1931 9.1861 3.1242 90.00 90.00 90.00
With the nearest neighbours (Å) after each atom.
Space group Cmmm (No. 65)
Inequivalent atoms, fractional coordinates:
1 Te 0.0000 0.0000 0.0000  2 As 3.10, 2 Te 3.12, 8 Cl 3.18
2 As 0.0000 0.5000 0.0000  2 Te 3.10, 2 As 3.12, 8 Cl 3.18
3 Cl 0.2500 0.2500 0.5000  4 Cl 3.10-3.12, 4 Te 3.18, 4 As 3.18


Entry 7:
First-principles (GGA-PBE) data for a relaxed structure of Te2AsCl, as listed in Alexandria via LeMat-Bulk.

Calculated values
Its total magnetization is 0.00 μB per formula unit. The raw total energy is -0.233 Ry/atom. The value obtained for the raw formation energy is 0.02 eV/atom.

Lattice parameters (Å, degrees): 3.7645 3.7645 25.7768 90.00 90.00 120.00
With the nearest neighbours (Å) after each atom.
Space group R-3m (No. 166, hexagonal axes)
Inequivalent atoms, fractional coordinates:
1 Te 0.0000 0.0000 0.2397  3 As 2.87
2 As 0.0000 0.0000 0.5000  6 Te 2.87
3 Cl 0.0000 0.0000 0.0000  6 Te 3.25


Entry 8:
First-principles (GGA-PBE) data for a relaxed structure of Te2AsCl, as listed in Alexandria via LeMat-Bulk.

Calculated values
Its total magnetization is 0.00 μB per formula unit. The raw total energy is -0.234 Ry/atom. The value obtained for the raw formation energy is 0.01 eV/atom.

Lattice parameters (Å, degrees): 4.1756 4.1756 8.0012 90.00 90.00 90.00
With the nearest neighbours (Å) after each atom.
Space group P4mm (No. 99)
Inequivalent atoms, fractional coordinates:
1 Te 0.0000 0.0000 0.0000  1 As 2.51
2 Te 0.5000 0.5000 0.3225  1 Cl 2.42
3 As 0.0000 0.0000 0.3140  1 Te 2.51
4 Cl 0.5000 0.5000 0.6247  1 Te 2.42


Entry 9:
First-principles (GGA-PBE) data for a relaxed structure of Te2AsCl, as listed in Alexandria via LeMat-Bulk.

Calculated values
Its total magnetization is 0.00 μB per formula unit. The raw total energy is -0.217 Ry/atom. The value obtained for the raw formation energy is 0.25 eV/atom.

Lattice parameters (Å, degrees): 3.2909 3.2909 31.9137 90.00 90.00 120.00
With the nearest neighbours (Å) after each atom.
Space group R-3m (No. 166, hexagonal axes)
Inequivalent atoms, fractional coordinates:
1 Te 0.0000 0.0000 0.0886  1 As 2.83, 3 Cl 3.13
2 As 0.0000 0.0000 0.0000  2 Te 2.83
3 Cl 0.0000 0.0000 0.5000  6 Te 3.13, 6 Cl 3.29


Entry 10:
First-principles (GGA-PBE) data for a relaxed structure of Te2AsCl, as listed in Alexandria via LeMat-Bulk.

Calculated values
Its total magnetization is 0.00 μB per formula unit. The raw total energy is -0.237 Ry/atom. The value obtained for the raw formation energy is -0.03 eV/atom.

Lattice parameters (Å, degrees): 7.0447 3.8495 8.4555 90.00 90.31 90.00
With the nearest neighbours (Å) after each atom.
Space group C2/m (No. 12)
Inequivalent atoms, fractional coordinates:
1 Te 0.1768 0.0000 0.2887  1 Cl 2.73, 3 As 2.89-2.91
2 As 0.0000 0.5000 0.5000  6 Te 2.89-2.91
3 Cl 0.0000 0.0000 0.0000  2 Te 2.73


Entry 11:
First-principles (GGA-PBE) data for a relaxed structure of Te2AsCl, as listed in Alexandria via LeMat-Bulk.

Calculated values
Its total magnetization is 0.00 μB per formula unit. The raw total energy is -0.221 Ry/atom. The value obtained for the raw formation energy is 0.19 eV/atom.

Lattice parameters (Å, degrees): 3.7718 5.0168 11.0103 90.00 90.00 90.00
With the nearest neighbours (Å) after each atom.
Space group Immm (No. 71)
Inequivalent atoms, fractional coordinates:
1 Te 0.0000 0.0000 0.2006  2 As 2.90
2 As 0.0000 0.5000 0.5000  4 Te 2.90, 4 Cl 3.14
3 Cl 0.0000 0.5000 0.0000  4 As 3.14, 4 Te 3.34


Entry 12:
First-principles (GGA-PBE) data for a relaxed structure of Te2AsCl, as listed in Alexandria via LeMat-Bulk.

Calculated values
Its total magnetization is 0.00 μB per formula unit. The raw total energy is -0.216 Ry/atom. The value obtained for the raw formation energy is 0.26 eV/atom.

Lattice parameters (Å, degrees): 7.2665 7.2665 7.2665 90.00 90.00 90.00
With the nearest neighbours (Å) after each atom.
Space group Fm-3m (No. 225)
Inequivalent atoms, fractional coordinates:
1 Te 0.2500 0.2500 0.2500  4 Cl 3.15, 4 As 3.15
2 As 0.0000 0.0000 0.0000  8 Te 3.15
3 Cl 0.0000 0.0000 0.5000  8 Te 3.15